Entry 1:
A plane-wave DFT calculation with GGA-PBE was carried out for an optimized crystal structure of Pu2NpAl.

The structure in CIF format:
```
data_Pu2NpAl
_chemical_formula_sum 'Pu6 Np3 Al3'
_symmetry_space_group_name_H-M 'R -3 m'
_symmetry_Int_Tables_number 166
_symmetry_space_group_name_Hall '-R 3 2"'
_cell_length_a 3.6584
_cell_length_b 3.6584
_cell_length_c 25.7212
_cell_angle_alpha 90.00
_cell_angle_beta 90.00
_cell_angle_gamma 120.00
loop_
_atom_site_label
_atom_site_fract_x
_atom_site_fract_y
_atom_site_fract_z
Pu1 0.0000 0.0000 0.1158
Np1 0.0000 0.0000 0.5000
Al1 0.0000 0.0000 0.0000
```

Computed properties:
The polymorph energy (0 for the lowest one) is 568 meV/atom. Its total energy is -42.55 eV per formula unit. The mass density comes out at 12.565 Mg/m³. The calculation puts the calculated volume at 24.84 A^3/atom.

---

Entry 2:
A plane-wave DFT calculation with GGA-PBE was carried out for an optimized crystal structure of RbAlTlGe.

The structure in CIF format:
```
data_RbAlTlGe
_chemical_formula_sum 'Rb2 Al2 Tl2 Ge2'
_symmetry_space_group_name_H-M 'P 4/n m m'
_symmetry_Int_Tables_number 129
_cell_length_a 4.296
_cell_length_b 4.296
_cell_length_c 14.339
_cell_angle_alpha 90.00
_cell_angle_beta 90.00
_cell_angle_gamma 90.00
loop_
_symmetry_equiv_pos_as_xyz
'x,y,z'
'-x,-y,-z'
'-y+1/2,x,z'
'y+1/2,-x,-z'
'-x+1/2,-y+1/2,z'
'x+1/2,y+1/2,-z'
'y,-x+1/2,z'
'-y,x+1/2,-z'
'x+1/2,-y,-z'
'-x+1/2,y,z'
'-y,-x,-z'
'y,x,z'
'-x,y+1/2,-z'
'x,-y+1/2,z'
'y+1/2,x+1/2,-z'
'-y+1/2,-x+1/2,z'
loop_
_atom_site_label
_atom_site_fract_x
_atom_site_fract_y
_atom_site_fract_z
Rb1 0.250 0.250 0.237
Al1 0.250 0.750 0.000
Tl1 0.250 0.750 0.500
Ge1 0.250 0.250 0.892
```

Computed properties:
Its total energy is -12.03 eV per formula unit. The mass density comes out at 4.888 Mg/m³. The calculation puts the calculated volume at 33.08 A^3/atom.

---

Entry 3:
A plane-wave DFT calculation with GGA-PBE was carried out for an optimized crystal structure of CrAs2P.

The structure in CIF format:
```
data_CrAs2P
_chemical_formula_sum 'Cr2 As4 P2'
_symmetry_space_group_name_H-M 'C 1 m 1'
_symmetry_Int_Tables_number 8
_symmetry_space_group_name_Hall 'C -2y'
_cell_length_a 7.778
_cell_length_b 3.117
_cell_length_c 5.729
_cell_angle_alpha 90.00
_cell_angle_beta 98.16
_cell_angle_gamma 90.00
loop_
_atom_site_label
_atom_site_fract_x
_atom_site_fract_y
_atom_site_fract_z
Cr1 0.000 0.000 0.000
As1 0.019 0.500 0.347
As2 0.295 0.000 0.719
P1 0.217 0.500 0.062
```

Computed properties:
Its total energy is -24.20 eV per formula unit. The mass density comes out at 5.624 Mg/m³. The calculation puts the calculated volume at 17.19 A^3/atom.

---

Entry 4:
A plane-wave DFT calculation with GGA-PBE was carried out for an optimized crystal structure of Hf6TiPb3.

The structure in CIF format:
```
data_Hf6TiPb3
_chemical_formula_sum 'Hf24 Ti4 Pb12'
_symmetry_space_group_name_H-M 'C m c 21'
_symmetry_Int_Tables_number 36
_symmetry_space_group_name_Hall 'C 2c -2'
_cell_length_a 10.858
_cell_length_b 11.349
_cell_length_c 7.529
_cell_angle_alpha 90.00
_cell_angle_beta 90.00
_cell_angle_gamma 90.00
loop_
_atom_site_label
_atom_site_fract_x
_atom_site_fract_y
_atom_site_fract_z
Hf1 0.000 0.154 0.000
Hf2 0.000 0.198 0.551
Hf3 0.149 0.449 0.535
Hf4 0.238 0.242 0.767
Ti1 0.000 0.367 0.822
Pb1 0.000 0.365 0.226
Pb2 0.146 0.018 0.287
```

Computed properties:
Its total energy is -78.22 eV per formula unit. The mass density comes out at 12.460 Mg/m³. The calculation puts the calculated volume at 23.19 A^3/atom.